No. 1
Compound: V4OsRu
Source: Alexandria
Functional: PBE
Structure: optimized geometry

As for the offset from the most stable computed form: 0.0 kJ/mol of atoms. The density of states at the Fermi level is 0.711 states/eV per atom. The energy of formation from the pure elements comes out at -0.33 eV per atom.

The space group is Cmmm (No. 65) and the conventional cell measures 4.225, 9.086 and 4.227 Å, with angles of 90.00, 90.00 and 90.00 degrees. The distinct sites, in fractional coordinates, are V at (0.000, 0.169, 0.000), V at (0.000, 0.330, 0.500), Os at (0.000, 0.000, 0.500) and Ru at (0.000, 0.500, 0.000).



No. 2
Compound: VOs3Ru
Source: Alexandria
Functional: PBE
Structure: optimized geometry

As for the offset from the most stable computed form: 185.0 kJ/mol of atoms. The density of states at the Fermi level is 1.143 states/eV per atom. The energy of formation from the pure elements comes out at 1.85 eV per atom.

The space group is Pm-3m (No. 221) and the conventional cell measures 4.414, 4.414 and 4.414 Å, with angles of 90.00, 90.00 and 90.00 degrees. The distinct sites, in fractional coordinates, are V at (0.000, 0.000, 0.000), Os at (0.000, 0.000, 0.500) and Ru at (0.500, 0.500, 0.500).